Here is a relaxed structure of NaAs2BrN from Alexandria. Energies are from PBE-GGA.

Output
* ΔE_f (raw): 165 kJ/mol of atoms
* Fermi-level density of states: 5.06 states/eV/cell
* density: 2.9 g/cm3
* energy relative to the lowest polymorph listed for this composition: 1421 meV/atom

Geometry as CIF:
```
data_NaAs2BrN
_chemical_formula_sum 'Na1 As2 Br1 N1'
_cell_length_a 5.2831
_cell_length_b 5.2831
_cell_length_c 5.4086
_cell_angle_alpha 90.00
_cell_angle_beta 90.00
_cell_angle_gamma 90.00
_symmetry_space_group_name_H-M 'P 4/m m m'
_symmetry_Int_Tables_number 123
_symmetry_space_group_name_Hall '-P 4 2'
loop_
_atom_site_label
_atom_site_type_symbol
_atom_site_fract_x
_atom_site_fract_y
_atom_site_fract_z
Na1 Na 0.0000 0.0000 0.0000
As1 As 0.0000 0.5000 0.0000
Br1 Br 0.0000 0.0000 0.5000
N1 N 0.5000 0.5000 0.5000
```